{
  "formula": "TaRu2RhO",
  "functional": "GGA-PBEsol",
  "state": "optimized geometry",
  "lattice_angstrom": [[4.670, 0.000, 0.000], [0.000, 4.670, 0.000], [0.000, 0.000, 4.686]],
  "species": ["Ru", "Ta", "O", "Rh", "Ru"],
  "frac_coords": [[0.000, 0.500, 0.000], [0.000, 0.000, 0.000], [0.500, 0.500, 0.500], [0.000, 0.000, 0.500], [0.500, 0.000, 0.000]],
  "magmom_total_mub_per_cell": 4.42,
  "spacegroup": "P4/mmm",
  "n_ef_per_ev_fu": 5.3,
  "dft_energy_ev_per_fu": -35.38,
  "raw_formation_energy_mev_per_atom": 2180.9,
  "density_g_cm3": 8.15
}